# PBEsol ReTcSbTe2, relaxed
# Magnetic moment   2.3 μB per cell
# Total energy   -28.3 eV per cell
data_ReTcSbTe2
_symmetry_space_group_name_H-M 'P 4/m m m'
_symmetry_Int_Tables_number 123
_symmetry_space_group_name_Hall '-P 4 2'
_cell_length_a 5.065
_cell_length_b 5.065
_cell_length_c 5.017
_cell_angle_alpha 90.00
_cell_angle_beta 90.00
_cell_angle_gamma 90.00
loop_
_atom_site_label
_atom_site_type_symbol
_atom_site_fract_x
_atom_site_fract_y
_atom_site_fract_z
Re1 Re 0.000 0.000 0.000
Tc1 Tc 0.500 0.500 0.500
Sb1 Sb 0.500 0.500 0.000
Te1 Te 0.000 0.500 0.500